1.
Compound: CsSbAu3
Source: Alexandria via LeMat-Bulk
Functional: PBE
Structure: optimized geometry

Cell: 4.9698 7.3681 9.8109 Å, 90.00 92.21 90.00°
With the nearest neighbours (Å) after each atom.
Sites, in units of the cell vectors:
1 Cs 0.0411 0.2500 0.3285  6 Au 3.62-3.98
2 Cs 0.9589 0.7500 0.6715  6 Au 3.62-3.98
3 Sb 0.2703 0.7500 0.1284  7 Au 2.73-3.03
4 Sb 0.7297 0.2500 0.8716  7 Au 2.73-3.03
5 Au 0.2467 0.0629 0.9665  3 Au 2.73-2.76, 3 Sb 2.80-3.03
6 Au 0.2467 0.4371 0.9665  3 Au 2.73-2.76, 3 Sb 2.80-3.03
7 Au 0.4270 0.7500 0.3982  1 Sb 2.73
8 Au 0.5730 0.2500 0.6018  1 Sb 2.73
9 Au 0.7533 0.5629 0.0335  3 Au 2.73-2.76, 3 Sb 2.80-3.03
10 Au 0.7533 0.9371 0.0335  3 Au 2.73-2.76, 3 Sb 2.80-3.03

Calculated values
Raw formation energy (eV/atom): -0.086
Energy relative to the lowest polymorph listed for this composition (kJ/mol of formula units): 89

2.
Compound: Cs3Sb2Au4
Source: Alexandria via LeMat-Bulk
Functional: PBE
Structure: optimized geometry

Cell: 7.5474 7.5474 10.7336 Å, 109.91 109.91 35.73°
With the nearest neighbours (Å) after each atom.
Sites, in units of the cell vectors:
1 Cs 0.0000 0.0000 0.0000  6 Au 3.90-4.16, 4 Sb 3.90
2 Cs 0.4002 0.4002 0.3017  4 Au 3.53-3.72, 1 Sb 3.91
3 Cs 0.5998 0.5998 0.6983  4 Au 3.53-3.72, 1 Sb 3.91
4 Sb 0.3322 0.3322 0.7152  4 Au 2.73-2.96
5 Sb 0.6678 0.6678 0.2848  4 Au 2.73-2.96
6 Au 0.2049 0.2049 0.4286  3 Sb 2.73-2.96, 2 Au 2.82
7 Au 0.2686 0.2686 0.9341  1 Sb 2.81, 2 Au 2.86
8 Au 0.7314 0.7314 0.0659  1 Sb 2.81, 2 Au 2.86
9 Au 0.7951 0.7951 0.5714  3 Sb 2.73-2.96, 2 Au 2.82

Calculated values
Raw formation energy (eV/atom): -0.325

3.
Compound: CsSb3Au
Source: Alexandria via LeMat-Bulk
Functional: PBE
Structure: optimized geometry

Cell: 5.3859 5.3859 12.6787 Å, 90.00 90.00 90.00°
With the nearest neighbours (Å) after each atom.
Sites, in units of the cell vectors:
1 Cs 0.0000 0.0000 0.0000  1 Au 3.95, 13 Sb 4.06-4.41
2 Cs 0.5000 0.5000 0.5000  1 Au 3.95, 13 Sb 4.06-4.41
3 Sb 0.0000 0.0000 0.6521  4 Sb 3.03
4 Sb 0.0000 0.5000 0.2608  2 Au 2.77, 2 Sb 3.03
5 Sb 0.0000 0.5000 0.7608  2 Au 2.77, 2 Sb 3.03
6 Sb 0.5000 0.0000 0.2608  2 Au 2.77, 2 Sb 3.03
7 Sb 0.5000 0.0000 0.7608  2 Au 2.77, 2 Sb 3.03
8 Sb 0.5000 0.5000 0.1521  4 Sb 3.03
9 Au 0.0000 0.0000 0.3119  4 Sb 2.77
10 Au 0.5000 0.5000 0.8119  4 Sb 2.77

Calculated values
Raw formation energy (eV/atom): -0.234
Energy relative to the lowest polymorph listed for this composition (kJ/mol of formula units): 0

4.
Compound: CsSb5Au6
Source: Alexandria via LeMat-Bulk
Functional: PBE
Structure: optimized geometry

Cell: 7.4603 7.4603 8.4928 Å, 110.71 110.71 99.29°
With the nearest neighbours (Å) after each atom.
Sites, in units of the cell vectors:
1 Cs 0.0000 0.0000 0.0000  2 Au 3.77, 2 Sb 4.15
2 Sb 0.1540 0.8460 0.5000  4 Au 2.70-2.73
3 Sb 0.3648 0.6352 0.0000  4 Au 2.75-2.76, 1 Sb 3.08
4 Sb 0.5000 0.5000 0.5000  4 Au 2.80
5 Sb 0.6352 0.3648 0.0000  4 Au 2.75-2.76, 1 Sb 3.08
6 Sb 0.8460 0.1540 0.5000  4 Au 2.70-2.73
7 Au 0.2081 0.5656 0.6288  3 Sb 2.70-2.80, 1 Au 2.84
8 Au 0.2299 0.2299 0.7572  4 Sb 2.73-2.75
9 Au 0.4344 0.7919 0.3712  3 Sb 2.70-2.80, 1 Au 2.84
10 Au 0.5656 0.2081 0.6288  3 Sb 2.70-2.80, 1 Au 2.84
11 Au 0.7701 0.7701 0.2428  4 Sb 2.73-2.75
12 Au 0.7919 0.4344 0.3712  3 Sb 2.70-2.80, 1 Au 2.84

Calculated values
Raw formation energy (eV/atom): -0.046

5.
Compound: Cs2Sb3Au5
Source: Alexandria via LeMat-Bulk
Functional: PBE
Structure: optimized geometry

Cell: 9.6112 9.6112 9.6112 Å, 106.89 89.50 135.90°
With the nearest neighbours (Å) after each atom.
Sites, in units of the cell vectors:
1 Cs 0.1316 0.2350 0.3666  10 Au 3.54-3.88, 7 Sb 3.69-3.96
2 Cs 0.3684 0.7350 0.1034  10 Au 3.54-3.88, 7 Sb 3.69-3.96
3 Cs 0.6316 0.2650 0.8966  10 Au 3.54-3.88, 7 Sb 3.69-3.96
4 Cs 0.8684 0.7650 0.6334  10 Au 3.54-3.88, 7 Sb 3.69-3.96
5 Sb 0.1307 0.8891 0.0198  5 Au 2.81-2.87
6 Sb 0.2500 0.7500 0.5000  6 Au 2.86-3.20
7 Sb 0.3693 0.3891 0.7584  5 Au 2.81-2.87
8 Sb 0.6307 0.6109 0.2416  5 Au 2.81-2.87
9 Sb 0.7500 0.2500 0.5000  6 Au 2.86-3.20
10 Sb 0.8693 0.1109 0.9802  5 Au 2.81-2.87
11 Au 0.0157 0.7500 0.2657  3 Sb 2.87-3.20, 2 Au 3.00
12 Au 0.1075 0.6449 0.7524  3 Sb 2.81-2.86, 2 Au 3.00
13 Au 0.2500 0.2500 0.0000  4 Sb 2.84
14 Au 0.3925 0.1449 0.5373  3 Sb 2.81-2.86, 2 Au 3.00
15 Au 0.4843 0.7500 0.7343  3 Sb 2.87-3.20, 2 Au 3.00
16 Au 0.5157 0.2500 0.2657  3 Sb 2.87-3.20, 2 Au 3.00
17 Au 0.6075 0.8551 0.4627  3 Sb 2.81-2.86, 2 Au 3.00
18 Au 0.7500 0.7500 0.0000  4 Sb 2.84
19 Au 0.8925 0.3551 0.2476  3 Sb 2.81-2.86, 2 Au 3.00
20 Au 0.9843 0.2500 0.7343  3 Sb 2.87-3.20, 2 Au 3.00

Calculated values
Raw formation energy (eV/atom): -0.202
Energy relative to the lowest polymorph listed for this composition (kJ/mol of formula units): 91

6.
Compound: CsSb4Au2
Source: Alexandria via LeMat-Bulk
Functional: PBE
Structure: optimized geometry

Cell: 9.3754 9.3754 4.6106 Å, 90.00 90.00 90.00°
With the nearest neighbours (Å) after each atom.
Sites, in units of the cell vectors:
1 Cs 0.0000 0.0000 0.0000  6 Au 3.68-3.74, 8 Sb 3.92
2 Cs 0.5000 0.5000 0.5000  6 Au 3.68-3.74, 8 Sb 3.92
3 Sb 0.0933 0.3253 0.5000  3 Au 2.92-3.11, 1 Sb 3.08
4 Sb 0.1747 0.5933 0.0000  3 Au 2.92-3.11, 1 Sb 3.08
5 Sb 0.3253 0.0933 0.5000  3 Au 2.92-3.11, 1 Sb 3.08
6 Sb 0.4067 0.8253 0.0000  3 Au 2.92-3.11, 1 Sb 3.08
7 Sb 0.5933 0.1747 0.0000  3 Au 2.92-3.11, 1 Sb 3.08
8 Sb 0.6747 0.9067 0.5000  3 Au 2.92-3.11, 1 Sb 3.08
9 Sb 0.8253 0.4067 0.0000  3 Au 2.92-3.11, 1 Sb 3.08
10 Sb 0.9067 0.6747 0.5000  3 Au 2.92-3.11, 1 Sb 3.08
11 Au 0.2221 0.7779 0.5000  6 Sb 2.92-3.11
12 Au 0.2779 0.2779 0.0000  6 Sb 2.92-3.11
13 Au 0.7221 0.7221 0.0000  6 Sb 2.92-3.11
14 Au 0.7779 0.2221 0.5000  6 Sb 2.92-3.11

Calculated values
Raw formation energy (eV/atom): -0.099

7.
Compound: Cs2SbAu5
Source: Alexandria via LeMat-Bulk
Functional: PBE
Structure: optimized geometry

Cell: 6.7854 7.7519 10.0024 Å, 90.00 90.00 90.00°
With the nearest neighbours (Å) after each atom.
Sites, in units of the cell vectors:
1 Cs 0.0000 0.0000 0.0000  10 Au 3.66-3.80, 2 Sb 3.97, 1 Cs 4.00
2 Cs 0.0000 0.0000 0.4003  8 Au 3.59-3.72, 1 Cs 4.00, 2 Sb 4.02
3 Cs 0.5000 0.5000 0.5000  10 Au 3.66-3.80, 2 Sb 3.97, 1 Cs 4.00
4 Cs 0.5000 0.5000 0.9003  8 Au 3.59-3.72, 1 Cs 4.00, 2 Sb 4.02
5 Sb 0.0000 0.5000 0.2936  4 Au 2.70
6 Sb 0.5000 0.0000 0.7936  4 Au 2.70
7 Au 0.0000 0.5000 0.6717  4 Au 2.75
8 Au 0.2025 0.1945 0.6958  1 Sb 2.70, 3 Au 2.75-3.02
9 Au 0.2025 0.8055 0.6958  1 Sb 2.70, 3 Au 2.75-3.02
10 Au 0.2975 0.3055 0.1958  1 Sb 2.70, 3 Au 2.75-3.02
11 Au 0.2975 0.6945 0.1958  1 Sb 2.70, 3 Au 2.75-3.02
12 Au 0.5000 0.0000 0.1717  4 Au 2.75
13 Au 0.7025 0.3055 0.1958  1 Sb 2.70, 3 Au 2.75-3.02
14 Au 0.7025 0.6945 0.1958  1 Sb 2.70, 3 Au 2.75-3.02
15 Au 0.7975 0.1945 0.6958  1 Sb 2.70, 3 Au 2.75-3.02
16 Au 0.7975 0.8055 0.6958  1 Sb 2.70, 3 Au 2.75-3.02

Calculated values
Raw formation energy (eV/atom): -0.248

8.
Compound: CsSbAu3
Source: Alexandria via LeMat-Bulk
Functional: PBE
Structure: optimized geometry

Cell: 5.5702 5.8707 9.9478 Å, 90.00 90.00 90.00°
With the nearest neighbours (Å) after each atom.
Sites, in units of the cell vectors:
1 Cs 0.2500 0.0000 0.1812  6 Au 3.64-3.73
2 Cs 0.7500 0.0000 0.8188  6 Au 3.64-3.73
3 Sb 0.2500 0.5000 0.6877  5 Au 2.76-2.80
4 Sb 0.7500 0.5000 0.3123  5 Au 2.76-2.80
5 Au 0.0000 0.2361 0.5000  4 Au 2.77-3.10, 2 Sb 2.80
6 Au 0.0000 0.7639 0.5000  4 Au 2.77-3.10, 2 Sb 2.80
7 Au 0.2500 0.5000 0.9651  1 Sb 2.76, 2 Au 2.87
8 Au 0.5000 0.2361 0.5000  4 Au 2.77-3.10, 2 Sb 2.80
9 Au 0.5000 0.7639 0.5000  4 Au 2.77-3.10, 2 Sb 2.80
10 Au 0.7500 0.5000 0.0349  1 Sb 2.76, 2 Au 2.87

Calculated values
Raw formation energy (eV/atom): -0.112
Energy relative to the lowest polymorph listed for this composition (kJ/mol of formula units): 77

9.
Compound: CsSbAuSe2
Source: Alexandria via LeMat-Bulk
Functional: PBE
Structure: optimized geometry

Cell: 9.3593 9.3593 5.2272 Å, 90.00 90.00 128.68°
With the nearest neighbours (Å) after each atom.
Sites, in units of the cell vectors:
1 Cs 0.2500 0.7500 0.7982  4 Se 3.46-3.56
2 Cs 0.7500 0.2500 0.2018  4 Se 3.46-3.56
3 Sb 0.2500 0.2500 0.5000  4 Se 2.93
4 Sb 0.7500 0.7500 0.5000  4 Se 2.93
5 Au 0.0000 0.0000 0.0000  2 Se 2.48
6 Au 0.5000 0.5000 0.0000  2 Se 2.48
7 Se 0.1111 0.8889 0.3119  1 Au 2.48
8 Se 0.3889 0.6111 0.3119  1 Au 2.48
9 Se 0.6111 0.3889 0.6881  1 Au 2.48
10 Se 0.8889 0.1111 0.6881  1 Au 2.48

Calculated values
Raw formation energy (eV/atom): -0.375

10.
Compound: Cs2SiSbAu6
Source: Alexandria via LeMat-Bulk
Functional: PBE
Structure: optimized geometry

Cell: 7.4108 7.4108 7.3876 Å, 119.64 119.64 90.50°
With the nearest neighbours (Å) after each atom.
Sites, in units of the cell vectors:
1 Cs 0.2499 0.7501 0.0000  12 Au 3.70-3.72
2 Cs 0.7501 0.2499 0.0000  12 Au 3.70-3.72
3 Si 0.0000 0.0000 0.5000  6 Au 2.45-2.47
4 Sb 0.5000 0.5000 0.5000  6 Au 2.77-2.80
5 Au 0.2344 0.7656 0.5000  1 Si 2.47
6 Au 0.2348 0.2348 0.5003  1 Si 2.45
7 Au 0.2347 0.2347 0.9689  1 Si 2.47
8 Au 0.7653 0.7653 0.0311  1 Si 2.47
9 Au 0.7652 0.7652 0.4997  1 Si 2.45
10 Au 0.7656 0.2344 0.5000  1 Si 2.47

Calculated values
Raw formation energy (eV/atom): -0.202

11.
Compound: CsSnSbAu2
Source: Alexandria via LeMat-Bulk
Functional: PBE
Structure: optimized geometry

Cell: 5.4508 5.4508 5.7962 Å, 90.00 90.00 90.00°
With the nearest neighbours (Å) after each atom.
Sites, in units of the cell vectors:
1 Cs 0.0000 0.0000 0.0000  4 Sb 3.85, 8 Au 3.98
2 Sn 0.5000 0.5000 0.5000  4 Au 2.73, 2 Sb 2.90
3 Sb 0.5000 0.5000 0.0000  2 Sn 2.90
4 Au 0.0000 0.5000 0.5000  2 Sn 2.73
5 Au 0.5000 0.0000 0.5000  2 Sn 2.73

Calculated values
Raw formation energy (eV/atom): 0.048

Record-wise magnetic moment values, in μB per cell: 0.0; 0.0; 0.0; 0.0; 0.0; 0.0; 0.0; 0.0; 0.0; 0.0; 0.0
Record-wise ρ values, in Mg/m³: 7.82; 7.12; 6.28; 8.17; 9.52; 8.31; 8.66; 8.63; 5.66; 9.19; 7.40